{"formula": "NbGePO", "functional": "GGA-PBE", "state": "optimized geometry", "lattice_angstrom": [[3.480, 0.000, 0.000], [0.000, 3.480, 0.000], [0.000, 0.000, 9.672]], "species": ["P", "P", "O", "O", "Ge", "Ge", "Nb", "Nb"], "fractional_positions": [[0.000, 0.500, 0.746], [0.500, 0.000, 0.254], [0.500, 0.500, 0.000], [0.000, 0.000, 0.000], [0.500, 0.500, 0.500], [0.000, 0.000, 0.500], [0.000, 0.500, 0.136], [0.500, 0.000, 0.864]], "e_above_lowest_polymorph_mev_per_atom": 221, "magnetic_moment_mub_per_fu": 0.3}